# 1
First-principles (PBE) data for a relaxed Pm4ScHg5 crystal, as listed in Alexandria via LeMat-Bulk.

## Properties
- D(E_F) (states/eV per atom) = 1.19
- space-group type = P4/mmm
- formation energy (meV/atom) = -454
- magnetic moment (μB per formula unit) = 1.834

Cell lengths 3.7243, 3.7243, 19.1052 Å; angles 90.00, 90.00, 90.00 degrees
Closest atoms and distances in Å follow each position.
Fractional positions:
Pm: 0.0000 0.0000 0.6031  8 Hg 3.28-3.29
Pm: 0.0000 0.0000 0.8094  8 Hg 3.30-3.32, 1 Sc 3.64
Pm: 0.0000 0.0000 0.3969  8 Hg 3.28-3.29
Pm: 0.0000 0.0000 0.1906  8 Hg 3.30-3.32, 1 Sc 3.64
Hg: 0.5000 0.5000 0.9155  4 Sc 3.09, 1 Hg 3.23, 4 Pm 3.32
Hg: 0.5000 0.5000 0.0845  4 Sc 3.09, 1 Hg 3.23, 4 Pm 3.32
Hg: 0.5000 0.5000 0.2945  8 Pm 3.28-3.30
Hg: 0.5000 0.5000 0.5000  8 Pm 3.29
Hg: 0.5000 0.5000 0.7055  8 Pm 3.28-3.30
Sc: 0.0000 0.0000 0.0000  8 Hg 3.09

***

# 2
First-principles (PBE) data for a relaxed Ba4SeI4 crystal, as listed in Alexandria via LeMat-Bulk.

## Properties
- D(E_F) (states/eV per atom) = 0.44
- space-group type = C2/m
- formation energy (no corrections) (kJ/mol of formula units) = -1423.3
- magnetic moment (μB per formula unit) = 0.000

Cell lengths 4.8763, 8.4084, 10.9265 Å; angles 76.73, 77.11, 73.14 degrees
Closest atoms and distances in Å follow each position.
Fractional positions:
Ba: 0.3094 0.0997 0.2815  1 Se 3.24, 5 I 3.50-3.59
Ba: 0.6906 0.9003 0.7185  1 Se 3.24, 5 I 3.50-3.59
Ba: 0.0913 0.7321 0.0852  2 Se 3.27, 4 I 3.52-3.59
Ba: 0.9087 0.2679 0.9148  2 Se 3.27, 4 I 3.52-3.59
I: 0.8975 0.8024 0.4026  4 Ba 3.50-3.59
I: 0.3130 0.5826 0.7913  5 Ba 3.52-3.59
I: 0.6870 0.4174 0.2087  5 Ba 3.52-3.59
I: 0.1025 0.1976 0.5974  4 Ba 3.50-3.59
Se: 0.5000 0.0000 0.0000  6 Ba 3.24-3.27

***

# 3
First-principles (PBE) data for a relaxed Tb2Ho2N3 crystal, as listed in Alexandria via LeMat-Bulk.

## Properties
- D(E_F) (states/eV per atom) = 0.36
- space-group type = C2/m
- formation energy (no corrections) (kJ/mol of formula units) = -974.4
- magnetic moment (μB per formula unit) = 0.000

Cell lengths 3.4876, 6.0716, 6.0575 Å; angles 99.66, 106.73, 90.00 degrees
Closest atoms and distances in Å follow each position.
Fractional positions:
Ho: 0.3742 0.1125 0.7485  5 N 2.38-2.51
Ho: 0.6258 0.8875 0.2515  5 N 2.38-2.51
N: 0.7473 0.2466 0.4947  3 Tb 2.38-2.52, 3 Ho 2.38-2.51
N: 0.2527 0.7534 0.5053  3 Tb 2.38-2.52, 3 Ho 2.38-2.51
N: 0.0000 0.0000 0.0000  4 Ho 2.45, 2 Tb 2.47
Tb: 0.1330 0.3652 0.2659  4 N 2.38-2.52
Tb: 0.8670 0.6348 0.7341  4 N 2.38-2.52

***

# 4
First-principles (PBE) data for a relaxed Ac2GaPb3 crystal, as listed in Alexandria via LeMat-Bulk.

## Properties
- D(E_F) (states/eV per atom) = 0.42
- space-group type = Pmm2
- formation energy (meV/atom) = -376
- magnetic moment (μB per formula unit) = 0.000

Cell lengths 4.5303, 4.6575, 9.6047 Å; angles 90.00, 90.00, 90.00 degrees
Closest atoms and distances in Å follow each position.
Fractional positions:
Ac: 0.0000 0.5000 0.0220  8 Pb 3.57-3.67, 2 Ga 3.80
Ac: 0.0000 0.0000 0.4771  4 Ga 3.50, 6 Pb 3.60-3.67
Pb: 0.5000 0.0000 0.1767  2 Ga 2.81
Pb: 0.5000 0.5000 0.6391  1 Ga 2.87, 2 Pb 3.05
Pb: 0.5000 0.0000 0.8448  3 Pb 3.05-3.19
Ga: 0.5000 0.5000 0.3403  3 Pb 2.81-2.87

***

# 5
First-principles (PBE) data for a relaxed Tb7Sm3Tl crystal, as listed in Alexandria via LeMat-Bulk.

## Properties
- D(E_F) (states/eV per atom) = 1.52
- space-group type = P3m1
- formation energy (meV/atom) = 134
- magnetic moment (μB per formula unit) = 0.000

Cell lengths 8.5811, 7.0122, 7.0122 Å; angles 120.00, 90.00, 90.00 degrees
Closest atoms and distances in Å follow each position.
Fractional positions:
Sm: 0.7831 0.9984 0.4992  5 Tb 3.47-3.55, 4 Sm 3.49-3.52, 1 Tl 3.54
Sm: 0.7831 0.5008 0.0016  5 Tb 3.47-3.55, 4 Sm 3.49-3.52, 1 Tl 3.54
Sm: 0.7831 0.5008 0.4992  5 Tb 3.47-3.55, 4 Sm 3.49-3.52, 1 Tl 3.54
Tb: 0.1238 0.1678 0.3356  1 Tl 3.41, 8 Tb 3.44-3.53, 2 Sm 3.55
Tb: 0.4456 0.8305 0.6610  7 Tb 3.44-3.57, 2 Tl 3.51, 2 Sm 3.52
Tb: 0.1238 0.6644 0.8322  1 Tl 3.41, 8 Tb 3.44-3.53, 2 Sm 3.55
Tb: 0.4456 0.8305 0.1695  7 Tb 3.44-3.57, 2 Tl 3.51, 2 Sm 3.52
Tb: 0.1238 0.1678 0.8322  1 Tl 3.41, 8 Tb 3.44-3.53, 2 Sm 3.55
Tb: 0.1121 0.6667 0.3333  3 Sm 3.47, 9 Tb 3.49-3.51
Tb: 0.4456 0.3390 0.1695  7 Tb 3.44-3.57, 2 Tl 3.51, 2 Sm 3.52
Tl: 0.4454 0.3333 0.6667  9 Tb 3.41-3.51, 3 Sm 3.54

***

# 6
First-principles (PBE) data for a relaxed Ta2TiMo4W2 crystal, as listed in Alexandria via LeMat-Bulk.

## Properties
- D(E_F) (states/eV per atom) = 0.48
- space-group type = C2/m
- formation energy (meV/atom) = -150
- magnetic moment (μB per formula unit) = 0.000

Cell lengths 3.1921, 6.9935, 7.1367 Å; angles 107.81, 90.00, 103.19 degrees
Closest atoms and distances in Å follow each position.
Fractional positions:
Ta: 0.8906 0.7812 0.3338  6 Mo 2.77-2.83, 2 W 2.79
Ta: 0.1094 0.2188 0.6662  6 Mo 2.77-2.83, 2 W 2.79
W: 0.6704 0.3408 0.0043  2 W 2.71, 2 Mo 2.73, 2 Ta 2.79, 2 Ti 2.81
W: 0.3296 0.6592 0.9957  2 W 2.71, 2 Mo 2.73, 2 Ta 2.79, 2 Ti 2.81
Mo: 0.2186 0.4373 0.3318  4 Mo 2.70-2.78, 2 W 2.73, 2 Ta 2.83
Mo: 0.5585 0.1171 0.3316  2 Mo 2.70, 2 Ti 2.76, 4 Ta 2.77-2.79
Mo: 0.4415 0.8829 0.6684  2 Mo 2.70, 2 Ti 2.76, 4 Ta 2.77-2.79
Mo: 0.7814 0.5627 0.6682  4 Mo 2.70-2.78, 2 W 2.73, 2 Ta 2.83
Ti: 0.0000 0.0000 0.0000  4 Mo 2.76, 4 W 2.81

***

# 7
First-principles (PBE) data for a relaxed Nd2Sm3YS6 crystal, as listed in Alexandria via LeMat-Bulk.

## Properties
- D(E_F) (states/eV per atom) = 0.42
- space-group type = C2/m
- formation energy (no corrections) (kJ/mol of formula units) = -2341.0
- magnetic moment (μB per formula unit) = 0.000

Cell lengths 6.9624, 6.9624, 6.9453 Å; angles 99.59, 99.59, 120.15 degrees
Closest atoms and distances in Å follow each position.
Fractional positions:
S: 0.4083 0.0831 0.2496  1 Y 2.79, 3 Sm 2.82-2.86, 2 Nd 2.86
S: 0.5917 0.9169 0.7504  1 Y 2.79, 3 Sm 2.82-2.86, 2 Nd 2.86
S: 0.2408 0.2408 0.7474  1 Y 2.80, 3 Sm 2.84-2.87, 2 Nd 2.88
S: 0.9169 0.5917 0.7504  1 Y 2.79, 3 Sm 2.82-2.86, 2 Nd 2.86
S: 0.7592 0.7592 0.2526  1 Y 2.80, 3 Sm 2.84-2.87, 2 Nd 2.88
S: 0.0831 0.4083 0.2496  1 Y 2.79, 3 Sm 2.82-2.86, 2 Nd 2.86
Sm: 0.5000 0.5000 0.5000  6 S 2.82-2.87
Sm: 0.1703 0.8297 0.5000  6 S 2.82-2.86
Sm: 0.8297 0.1703 0.5000  6 S 2.82-2.86
Nd: 0.6669 0.3331 0.0000  6 S 2.86-2.88
Nd: 0.3331 0.6669 0.0000  6 S 2.86-2.88
Y: 0.0000 0.0000 0.0000  6 S 2.79-2.80

***

# 8
First-principles (PBE) data for a relaxed Nd4CdGa3 crystal, as listed in Alexandria via LeMat-Bulk.

## Properties
- D(E_F) (states/eV per atom) = 0.90
- space-group type = Pmma
- formation energy (meV/atom) = -490
- magnetic moment (μB per formula unit) = 0.000

Cell lengths 5.2799, 7.5163, 10.5596 Å; angles 90.00, 90.00, 90.00 degrees
Closest atoms and distances in Å follow each position.
Fractional positions:
Nd: 0.5000 0.2436 0.0000  6 Ga 3.21-3.27, 2 Cd 3.27
Nd: 0.9990 0.7564 0.2500  6 Ga 3.21-3.27, 2 Cd 3.27
Nd: 0.5000 0.7564 0.0000  6 Ga 3.21-3.27, 2 Cd 3.27
Nd: 0.9990 0.2436 0.2500  6 Ga 3.21-3.27, 2 Cd 3.27
Nd: 0.0010 0.2436 0.7500  6 Ga 3.21-3.27, 2 Cd 3.27
Nd: 0.5000 0.2436 0.5000  6 Ga 3.21-3.27, 2 Cd 3.27
Nd: 0.0010 0.7564 0.7500  6 Ga 3.21-3.27, 2 Cd 3.27
Nd: 0.5000 0.7564 0.5000  6 Ga 3.21-3.27, 2 Cd 3.27
Ga: 0.4986 0.0000 0.2500  8 Nd 3.21
Ga: 0.0000 0.0000 0.5000  8 Nd 3.21
Ga: 0.5014 0.0000 0.7500  8 Nd 3.21
Ga: 0.4986 0.5000 0.2500  8 Nd 3.27
Ga: 0.5014 0.5000 0.7500  8 Nd 3.27
Ga: 0.0000 0.0000 0.0000  8 Nd 3.21
Cd: 0.0000 0.5000 0.0000  8 Nd 3.27
Cd: 0.0000 0.5000 0.5000  8 Nd 3.27